This record from Alexandria via LeMat-Bulk describes crystalline Nd8Co3RhBr4 at its relaxed geometry. The functional is GGA-PBE.

a = 13.957 Å, b = 8.058 Å, c = 9.105 Å
α = 90.00°, β = 120.78°, γ = 90.00°
Space group C2/m (No. 12)
Asymmetric unit:
Nd1 0.021 0.244 0.306 [8 per cell]
Nd2 0.231 0.000 0.691 [4 per cell]
Nd3 0.236 0.500 0.694 [4 per cell]
Co1 0.000 0.000 0.500 [2 per cell]
Co2 0.250 0.250 0.500 [4 per cell]
Rh1 0.000 0.500 0.500 [2 per cell]
Br1 0.000 0.000 0.000 [2 per cell]
Br2 0.000 0.500 0.000 [2 per cell]
Br3 0.250 0.250 0.000 [4 per cell]

Calculated values
The value obtained for the density of states at the Fermi level is 8.906 states/eV/cell. The energy is -5.404 eV/atom. Its formation energy (no corrections) is -0.81 eV per atom.


This record from Alexandria via LeMat-Bulk describes crystalline Nd6CoS2Br3 at its relaxed geometry. The functional is GGA-PBE.

a = 7.186 Å, b = 12.387 Å, c = 7.664 Å
α = 90.00°, β = 108.02°, γ = 90.00°
Space group C2/m (No. 12)
Asymmetric unit:
Nd1 0.225 0.159 0.201 [8 per cell]
Nd2 0.249 0.500 0.206 [4 per cell]
Co1 0.000 0.000 0.000 [2 per cell]
S1 0.000 0.334 0.000 [4 per cell]
Br1 0.000 0.173 0.500 [4 per cell]
Br2 0.000 0.500 0.500 [2 per cell]

Calculated values
The value obtained for the density of states at the Fermi level is 17.703 states/eV/cell. The energy is -5.386 eV/atom. Its formation energy (no corrections) is -1.30 eV per atom.


This record from Alexandria via LeMat-Bulk describes crystalline Nd8CoS3Br4 at its relaxed geometry. The functional is GGA-PBE.

a = 8.2214 Å, b = 8.2214 Å, c = 22.1217 Å
α = 90.00°, β = 90.00°, γ = 120.00°
Space group R-3m (No. 166, hexagonal axes)
Asymmetric unit:
Nd1 0.0000 0.0000 0.2339 [6 per cell]
Nd2 0.0154 0.5077 0.2333 [18 per cell]
Co1 0.0000 0.0000 0.5000 [3 per cell]
S1 0.0000 0.5000 0.5000 [9 per cell]
Br1 0.0000 0.0000 0.0000 [3 per cell]
Br2 0.0000 0.5000 0.0000 [9 per cell]

Calculated values
The value obtained for the density of states at the Fermi level is 36.650 states/eV/cell. The energy is -5.403 eV/atom. Its formation energy (no corrections) is -1.38 eV per atom.


This record from Alexandria via LeMat-Bulk describes crystalline Nd4CoSeBr2 at its relaxed geometry. The functional is GGA-PBE.

a = 7.579 Å, b = 4.017 Å, c = 7.817 Å
α = 90.00°, β = 107.16°, γ = 90.00°
Space group P2/m (No. 10)
Asymmetric unit:
Nd1 0.202 0.000 0.194 [2 per cell]
Nd2 0.246 0.500 0.792 [2 per cell]
Co1 0.000 0.500 0.000 [1 per cell]
Se1 0.500 0.000 0.000 [1 per cell]
Br1 0.000 0.000 0.500 [1 per cell]
Br2 0.500 0.500 0.500 [1 per cell]

Calculated values
The value obtained for the density of states at the Fermi level is 5.328 states/eV/cell. The energy is -5.240 eV/atom. Its formation energy (no corrections) is -1.11 eV per atom.


This record from Alexandria via LeMat-Bulk describes crystalline Nd6Co2SeBr3 at its relaxed geometry. The functional is GGA-PBE.

a = 19.091 Å, b = 4.042 Å, c = 9.157 Å
α = 90.00°, β = 107.75°, γ = 90.00°
Space group C2/m (No. 12)
Asymmetric unit:
Nd1 0.022 0.000 0.245 [4 per cell]
Nd2 0.167 0.500 0.130 [4 per cell]
Nd3 0.181 0.500 0.548 [4 per cell]
Co1 0.168 0.000 0.331 [4 per cell]
Se1 0.000 0.500 0.000 [2 per cell]
Br1 0.000 0.500 0.500 [2 per cell]
Br2 0.159 0.000 0.835 [4 per cell]

Calculated values
The value obtained for the density of states at the Fermi level is 19.364 states/eV/cell. The energy is -5.257 eV/atom. Its formation energy (no corrections) is -0.98 eV per atom.


This record from Alexandria via LeMat-Bulk describes crystalline Nd4CoSe2Br at its relaxed geometry. The functional is GGA-PBE.

a = 7.396 Å, b = 4.058 Å, c = 7.493 Å
α = 90.00°, β = 107.99°, γ = 90.00°
Space group P2/m (No. 10)
Asymmetric unit:
Nd1 0.222 0.000 0.215 [2 per cell]
Nd2 0.255 0.500 0.772 [2 per cell]
Co1 0.000 0.500 0.000 [1 per cell]
Se1 0.500 0.000 0.000 [1 per cell]
Se2 0.500 0.500 0.500 [1 per cell]
Br1 0.000 0.000 0.500 [1 per cell]

Calculated values
The value obtained for the density of states at the Fermi level is 6.343 states/eV/cell. The energy is -5.549 eV/atom. Its formation energy (no corrections) is -1.20 eV per atom.


This record from Alexandria via LeMat-Bulk describes crystalline Nd8Co3SiBr4 at its relaxed geometry. The functional is GGA-PBE.

a = 8.1929 Å, b = 8.1929 Å, c = 23.1049 Å
α = 90.00°, β = 90.00°, γ = 120.00°
Space group R-3m (No. 166, hexagonal axes)
Asymmetric unit:
Nd1 0.0000 0.0000 0.2322 [6 per cell]
Nd2 0.0152 0.5076 0.7681 [18 per cell]
Co1 0.0000 0.5000 0.5000 [9 per cell]
Si1 0.0000 0.0000 0.5000 [3 per cell]
Br1 0.0000 0.0000 0.0000 [3 per cell]
Br2 0.0000 0.5000 0.0000 [9 per cell]

Calculated values
The value obtained for the density of states at the Fermi level is 36.537 states/eV/cell. The energy is -5.231 eV/atom. Its formation energy (no corrections) is -0.76 eV per atom.


This record from Alexandria via LeMat-Bulk describes crystalline Nd4CoSiBr2 at its relaxed geometry. The functional is GGA-PBE.

a = 7.431 Å, b = 4.080 Å, c = 7.863 Å
α = 90.00°, β = 106.60°, γ = 90.00°
Space group P2/m (No. 10)
Asymmetric unit:
Nd1 0.218 0.000 0.196 [2 per cell]
Nd2 0.248 0.500 0.799 [2 per cell]
Co1 0.000 0.500 0.000 [1 per cell]
Si1 0.500 0.000 0.000 [1 per cell]
Br1 0.000 0.000 0.500 [1 per cell]
Br2 0.500 0.500 0.500 [1 per cell]

Calculated values
The value obtained for the density of states at the Fermi level is 6.355 states/eV/cell. The energy is -5.213 eV/atom. Its formation energy (no corrections) is -0.84 eV per atom.


This record from Alexandria via LeMat-Bulk describes crystalline Nd6Co2SiBr3 at its relaxed geometry. The functional is GGA-PBE.

a = 19.296 Å, b = 4.090 Å, c = 9.081 Å
α = 90.00°, β = 109.89°, γ = 90.00°
Space group C2/m (No. 12)
Asymmetric unit:
Nd1 0.022 0.000 0.240 [4 per cell]
Nd2 0.162 0.500 0.131 [4 per cell]
Nd3 0.180 0.500 0.558 [4 per cell]
Co1 0.171 0.000 0.343 [4 per cell]
Si1 0.000 0.500 0.000 [2 per cell]
Br1 0.000 0.500 0.500 [2 per cell]
Br2 0.161 0.000 0.842 [4 per cell]

Calculated values
The value obtained for the density of states at the Fermi level is 9.872 states/eV/cell. The energy is -5.258 eV/atom. Its formation energy (no corrections) is -0.82 eV per atom.


This record from Alexandria via LeMat-Bulk describes crystalline Nd6Co2SnBr3 at its relaxed geometry. The functional is GGA-PBE.

a = 19.624 Å, b = 4.128 Å, c = 9.171 Å
α = 90.00°, β = 108.14°, γ = 90.00°
Space group C2/m (No. 12)
Asymmetric unit:
Nd1 0.031 0.000 0.264 [4 per cell]
Nd2 0.169 0.500 0.142 [4 per cell]
Nd3 0.182 0.500 0.563 [4 per cell]
Co1 0.173 0.000 0.349 [4 per cell]
Sn1 0.000 0.500 0.000 [2 per cell]
Br1 0.000 0.500 0.500 [2 per cell]
Br2 0.164 0.000 0.843 [4 per cell]

Calculated values
The value obtained for the density of states at the Fermi level is 11.133 states/eV/cell. The energy is -5.115 eV/atom. Its formation energy (no corrections) is -0.79 eV per atom.


This record from Alexandria via LeMat-Bulk describes crystalline TbNdCoBr at its relaxed geometry. The functional is GGA-PBE.

a = 6.785 Å, b = 3.920 Å, c = 8.113 Å
α = 90.00°, β = 106.26°, γ = 90.00°
Space group Cm (No. 8)
Asymmetric unit:
Tb1 0.000 0.000 0.000 [2 per cell]
Nd1 0.293 0.500 0.381 [2 per cell]
Co1 0.395 0.000 0.186 [2 per cell]
Br1 0.067 0.500 0.704 [2 per cell]

Calculated values
The value obtained for the density of states at the Fermi level is 1.820 states/eV/cell. The energy is -5.261 eV/atom. Its formation energy (no corrections) is -0.72 eV per atom.


This record from Alexandria via LeMat-Bulk describes crystalline NdThCoBr at its relaxed geometry. The functional is GGA-PBE.

a = 4.0252 Å, b = 4.0252 Å, c = 23.6168 Å
α = 90.00°, β = 90.00°, γ = 120.00°
Space group R3m (No. 160, hexagonal axes)
Asymmetric unit:
Nd1 0.0000 0.0000 0.0000 [3 per cell]
Th1 0.0000 0.0000 0.2105 [3 per cell]
Co1 0.0000 0.0000 0.5978 [3 per cell]
Br1 0.0000 0.0000 0.7701 [3 per cell]

Calculated values
The value obtained for the density of states at the Fermi level is 9.071 states/eV/cell. The energy is -5.972 eV/atom. Its formation energy (no corrections) is -0.73 eV per atom.